Entry 1:
# Sc6CoPd

Sc6CoPd after structural relaxation (GGA-PBE, Alexandria).

Unit cell a=6.1998 b=10.0988 c=6.1335 alpha=90.00 beta=109.84 gamma=90.00
Closest atoms and distances in Å follow each position.
Fractional coordinates of all 16 atoms:
Sc: 0.2250 0.1842 0.2406  1 Co 2.49, 1 Pd 2.66
Sc: 0.2250 0.8158 0.2406  1 Co 2.49, 1 Pd 2.66
Sc: 0.2470 0.0000 0.7695  1 Co 2.41, 1 Pd 2.64
Sc: 0.2530 0.5000 0.2305  1 Co 2.41, 1 Pd 2.64
Sc: 0.2750 0.3158 0.7594  1 Co 2.49, 1 Pd 2.66
Sc: 0.2750 0.6842 0.7594  1 Co 2.49, 1 Pd 2.66
Sc: 0.7250 0.3158 0.2406  1 Co 2.49, 1 Pd 2.66
Sc: 0.7250 0.6842 0.2406  1 Co 2.49, 1 Pd 2.66
Sc: 0.7470 0.5000 0.7695  1 Co 2.41, 1 Pd 2.64
Sc: 0.7530 0.0000 0.2305  1 Co 2.41, 1 Pd 2.64
Sc: 0.7750 0.1842 0.7594  1 Co 2.49, 1 Pd 2.66
Sc: 0.7750 0.8158 0.7594  1 Co 2.49, 1 Pd 2.66
Co: 0.0000 0.0000 0.0000  6 Sc 2.41-2.49
Co: 0.5000 0.5000 0.0000  6 Sc 2.41-2.49
Pd: 0.0000 0.5000 0.5000  6 Sc 2.64-2.66
Pd: 0.5000 0.0000 0.5000  6 Sc 2.64-2.66

DOS(E_F) (states/eV per atom): 1.12
Energy (eV per atom): -6.45
Energy of formation (eV per atom): -0.17
Magnetic moment (μB per formula unit): 0.000

---

Entry 2:
# NaCaSe2

NaCaSe2 after structural relaxation (GGA-PBE, Alexandria).

Unit cell a=7.2337 b=7.2337 c=7.2337 alpha=90.00 beta=90.00 gamma=90.00
Closest atoms and distances in Å follow each position.
Fractional coordinates of all 16 atoms:
Na: 0.0000 0.0000 0.0000  8 Se 3.13
Na: 0.0000 0.5000 0.5000  8 Se 3.13
Na: 0.5000 0.0000 0.5000  8 Se 3.13
Na: 0.5000 0.5000 0.0000  8 Se 3.13
Ca: 0.0000 0.0000 0.5000  8 Se 3.13
Ca: 0.0000 0.5000 0.0000  8 Se 3.13
Ca: 0.5000 0.0000 0.0000  8 Se 3.13
Ca: 0.5000 0.5000 0.5000  8 Se 3.13
Se: 0.2500 0.2500 0.2500  4 Na 3.13, 4 Ca 3.13
Se: 0.2500 0.2500 0.7500  4 Na 3.13, 4 Ca 3.13
Se: 0.2500 0.7500 0.2500  4 Na 3.13, 4 Ca 3.13
Se: 0.2500 0.7500 0.7500  4 Ca 3.13, 4 Na 3.13
Se: 0.7500 0.2500 0.2500  4 Na 3.13, 4 Ca 3.13
Se: 0.7500 0.2500 0.7500  4 Ca 3.13, 4 Na 3.13
Se: 0.7500 0.7500 0.2500  4 Ca 3.13, 4 Na 3.13
Se: 0.7500 0.7500 0.7500  4 Na 3.13, 4 Ca 3.13

DOS(E_F) (states/eV per atom): 1.13
Energy (eV per atom): -3.74
Magnetic moment (μB per formula unit): 0.000
ΔE_f (raw) (meV per atom): -1172

---

Entry 3:
# TaAgW2

TaAgW2 after structural relaxation (GGA-PBE, Alexandria).

Unit cell a=6.4765 b=6.4765 c=6.4765 alpha=90.00 beta=90.00 gamma=90.00
Closest atoms and distances in Å follow each position.
Fractional coordinates of all 16 atoms:
Ta: 0.0000 0.0000 0.0000  4 W 2.80, 4 Ag 2.80
Ta: 0.0000 0.5000 0.5000  4 W 2.80, 4 Ag 2.80
Ta: 0.5000 0.0000 0.5000  4 W 2.80, 4 Ag 2.80
Ta: 0.5000 0.5000 0.0000  4 W 2.80, 4 Ag 2.80
Ag: 0.2500 0.2500 0.7500  4 Ta 2.80, 4 W 2.80
Ag: 0.2500 0.7500 0.2500  4 Ta 2.80, 4 W 2.80
Ag: 0.7500 0.2500 0.2500  4 Ta 2.80, 4 W 2.80
Ag: 0.7500 0.7500 0.7500  4 Ta 2.80, 4 W 2.80
W: 0.0000 0.0000 0.5000  4 W 2.80, 4 Ag 2.80
W: 0.0000 0.5000 0.0000  4 W 2.80, 4 Ag 2.80
W: 0.2500 0.2500 0.2500  4 Ta 2.80, 4 W 2.80
W: 0.2500 0.7500 0.7500  4 Ta 2.80, 4 W 2.80
W: 0.5000 0.0000 0.0000  4 W 2.80, 4 Ag 2.80
W: 0.5000 0.5000 0.5000  4 W 2.80, 4 Ag 2.80
W: 0.7500 0.2500 0.7500  4 Ta 2.80, 4 W 2.80
W: 0.7500 0.7500 0.2500  4 Ta 2.80, 4 W 2.80

DOS(E_F) (states/eV per atom): 0.56
Energy relative to the lowest polymorph listed for this composition (meV per atom): 250
Energy (eV per atom): -9.68
Energy of formation (eV per atom): 0.47
Magnetic moment (μB per formula unit): 0.000

---

Entry 4:
# Sr2Ga4HgPd3

Sr2Ga4HgPd3 after structural relaxation (GGA-PBE, Alexandria).

Unit cell a=4.5710 b=4.5710 c=10.2346 alpha=90.00 beta=90.00 gamma=90.00
Closest atoms and distances in Å follow each position.
Fractional coordinates of all 10 atoms:
Sr: 0.0000 0.5000 0.2481  8 Ga 3.42-3.44, 2 Hg 3.45, 7 Pd 3.45-3.73
Sr: 0.5000 0.0000 0.7519  8 Ga 3.42-3.44, 2 Hg 3.45, 7 Pd 3.45-3.73
Ga: 0.0000 0.0000 0.0000  4 Pd 2.58
Ga: 0.0000 0.5000 0.6371  3 Pd 2.52-2.68, 2 Hg 2.68
Ga: 0.5000 0.0000 0.3629  3 Pd 2.52-2.68, 2 Hg 2.68
Ga: 0.5000 0.5000 0.0000  4 Pd 2.58
Hg: 0.0000 0.0000 0.5000  4 Ga 2.68
Pd: 0.0000 0.5000 0.8832  5 Ga 2.52-2.58
Pd: 0.5000 0.0000 0.1168  5 Ga 2.52-2.58
Pd: 0.5000 0.5000 0.5000  4 Ga 2.68

DOS(E_F) (states/eV per atom): 0.42
Energy (eV per atom): -3.74
Energy of formation (eV per atom): -0.61
Magnetic moment (μB per formula unit): 0.000

---

Entry 5:
# Na4ZrO4

Na4ZrO4 after structural relaxation (GGA-PBE, Alexandria).

Unit cell a=5.9163 b=5.9163 c=8.1639 alpha=120.83 beta=120.83 gamma=32.73
Closest atoms and distances in Å follow each position.
Fractional coordinates of all 9 atoms:
Na: 0.1334 0.1334 0.3992  4 O 2.28-2.35
Na: 0.2957 0.2957 0.1789  5 O 2.34-2.54
Na: 0.7043 0.7043 0.8211  5 O 2.34-2.54
Na: 0.8666 0.8666 0.6008  4 O 2.28-2.35
Zr: 0.5000 0.5000 0.0000  6 O 2.12-2.20
O: 0.0708 0.0708 0.8969  2 Zr 2.20, 2 Na 2.29-2.35
O: 0.3049 0.3049 0.7321  1 Zr 2.12, 5 Na 2.28-2.35
O: 0.6951 0.6951 0.2679  1 Zr 2.12, 5 Na 2.28-2.35
O: 0.9292 0.9292 0.1031  2 Zr 2.20, 2 Na 2.29-2.35

DOS(E_F) (states/eV per atom): 0.00
Energy (eV per atom): -5.78
Magnetic moment (μB per formula unit): 0.000
ΔE_f (raw) (meV per atom): -2041

---

Entry 6:
# TiCoPCl2

TiCoPCl2 after structural relaxation (GGA-PBE, Alexandria).

Unit cell a=4.3913 b=4.3913 c=4.6371 alpha=90.00 beta=90.00 gamma=90.00
Closest atoms and distances in Å follow each position.
Fractional coordinates of all 5 atoms:
Ti: 0.0000 0.0000 0.0000  4 P 3.11, 8 Cl 3.19
Co: 0.5000 0.5000 0.5000  4 Cl 2.20, 2 P 2.32
P: 0.5000 0.5000 0.0000  2 Co 2.32
Cl: 0.0000 0.5000 0.5000  2 Co 2.20
Cl: 0.5000 0.0000 0.5000  2 Co 2.20

DOS(E_F) (states/eV per atom): 1.61
Energy relative to the lowest polymorph listed for this composition (meV per atom): 154
Energy (eV per atom): -4.58
Magnetic moment (μB per formula unit): 0.000
ΔE_f (raw) (meV per atom): 238

---

Entry 7:
# La2Sn4Ir3Au

La2Sn4Ir3Au after structural relaxation (GGA-PBE, Alexandria).

Unit cell a=4.6019 b=4.6019 c=10.8375 alpha=90.00 beta=90.00 gamma=90.00
Closest atoms and distances in Å follow each position.
Fractional coordinates of all 10 atoms:
La: 0.0000 0.5000 0.2449  6 Ir 3.49-3.60, 8 Sn 3.51, 2 Au 3.60
La: 0.5000 0.0000 0.7551  6 Ir 3.49-3.60, 8 Sn 3.51, 2 Au 3.60
Sn: 0.0000 0.0000 0.0000  4 Ir 2.69
Sn: 0.0000 0.5000 0.6336  3 Ir 2.59-2.72, 2 Au 2.72
Sn: 0.5000 0.0000 0.3664  3 Ir 2.59-2.72, 2 Au 2.72
Sn: 0.5000 0.5000 0.0000  4 Ir 2.69
Ir: 0.0000 0.5000 0.8722  5 Sn 2.59-2.69
Ir: 0.5000 0.0000 0.1278  5 Sn 2.59-2.69
Ir: 0.5000 0.5000 0.5000  4 Sn 2.72
Au: 0.0000 0.0000 0.5000  4 Sn 2.72

DOS(E_F) (states/eV per atom): 0.61
Energy (eV per atom): -6.16
Energy of formation (eV per atom): -0.59
Magnetic moment (μB per formula unit): 0.000

---

Entry 8:
# Nb2V2Au

Nb2V2Au after structural relaxation (GGA-PBE, Alexandria).

Unit cell a=6.8831 b=6.8831 c=3.5013 alpha=90.00 beta=90.00 gamma=90.00
Closest atoms and distances in Å follow each position.
Fractional coordinates of all 10 atoms:
Nb: 0.1783 0.3217 0.0000  6 V 2.64-2.72
Nb: 0.3217 0.8217 0.0000  6 V 2.64-2.72
Nb: 0.6783 0.1783 0.0000  6 V 2.64-2.72
Nb: 0.8217 0.6783 0.0000  6 V 2.64-2.72
V: 0.1192 0.6192 0.5000  1 V 2.32
V: 0.3808 0.1192 0.5000  1 V 2.32
V: 0.6192 0.8808 0.5000  1 V 2.32
V: 0.8808 0.3808 0.5000  1 V 2.32
Au: 0.0000 0.0000 0.5000  4 V 2.75
Au: 0.5000 0.5000 0.5000  4 V 2.75

DOS(E_F) (states/eV per atom): 0.93
Energy relative to the lowest polymorph listed for this composition (meV per atom): 0
Energy (eV per atom): -8.21
Energy of formation (eV per atom): 0.12
Magnetic moment (μB per formula unit): 0.000

---

Entry 9:
# ZnTcRh3

ZnTcRh3 after structural relaxation (GGA-PBE, Alexandria).

Unit cell a=4.6571 b=4.6571 c=4.6571 alpha=90.00 beta=90.00 gamma=90.00
Closest atoms and distances in Å follow each position.
Fractional coordinates of all 5 atoms:
Zn: 0.0000 0.0000 0.0000  12 Rh 3.29
Tc: 0.5000 0.5000 0.5000  6 Rh 2.33
Rh: 0.0000 0.5000 0.5000  2 Tc 2.33
Rh: 0.5000 0.0000 0.5000  2 Tc 2.33
Rh: 0.5000 0.5000 0.0000  2 Tc 2.33

DOS(E_F) (states/eV per atom): 0.81
Energy relative to the lowest polymorph listed for this composition (meV per atom): 0
Energy (eV per atom): -5.60
Energy of formation (eV per atom): 1.14
Magnetic moment (μB per formula unit): 0.000

---

Entry 10:
# TbThCN

TbThCN after structural relaxation (GGA-PBE, Alexandria).

Unit cell a=3.6544 b=3.6544 c=5.1281 alpha=90.00 beta=90.00 gamma=90.00
Closest atoms and distances in Å follow each position.
Fractional coordinates of all 4 atoms:
Tb: 0.0000 0.0000 0.0000  2 N 2.56, 4 C 2.58
Th: 0.5000 0.5000 0.5000  2 C 2.56, 4 N 2.58
C: 0.5000 0.5000 0.0000  2 Th 2.56, 4 Tb 2.58
N: 0.0000 0.0000 0.5000  2 Tb 2.56, 4 Th 2.58

DOS(E_F) (states/eV per atom): 0.38
Energy (eV per atom): -8.34
Magnetic moment (μB per formula unit): 0.000
ΔE_f (raw) (meV per atom): -937

---

Entry 11:
# AcEuInNi

AcEuInNi after structural relaxation (GGA-PBE, Alexandria).

Unit cell a=7.7024 b=7.7024 c=7.7024 alpha=90.00 beta=90.00 gamma=90.00
Closest atoms and distances in Å follow each position.
Fractional coordinates of all 16 atoms:
Ac: 0.0000 0.0000 0.0000  4 In 3.34, 4 Ni 3.34
Ac: 0.0000 0.5000 0.5000  4 In 3.34, 4 Ni 3.34
Ac: 0.5000 0.0000 0.5000  4 In 3.34, 4 Ni 3.34
Ac: 0.5000 0.5000 0.0000  4 In 3.34, 4 Ni 3.34
Eu: 0.0000 0.0000 0.5000  4 Ni 3.34, 4 In 3.34
Eu: 0.0000 0.5000 0.0000  4 Ni 3.34, 4 In 3.34
Eu: 0.5000 0.0000 0.0000  4 Ni 3.34, 4 In 3.34
Eu: 0.5000 0.5000 0.5000  4 Ni 3.34, 4 In 3.34
In: 0.2500 0.2500 0.7500  4 Eu 3.34, 4 Ac 3.34
In: 0.2500 0.7500 0.2500  4 Eu 3.34, 4 Ac 3.34
In: 0.7500 0.2500 0.2500  4 Eu 3.34, 4 Ac 3.34
In: 0.7500 0.7500 0.7500  4 Eu 3.34, 4 Ac 3.34
Ni: 0.2500 0.2500 0.2500  4 Ac 3.34, 4 Eu 3.34
Ni: 0.2500 0.7500 0.7500  4 Ac 3.34, 4 Eu 3.34
Ni: 0.7500 0.2500 0.7500  4 Ac 3.34, 4 Eu 3.34
Ni: 0.7500 0.7500 0.2500  4 Ac 3.34, 4 Eu 3.34

DOS(E_F) (states/eV per atom): 2.50
Energy (eV per atom): -5.88
Energy of formation (eV per atom): -0.15
Magnetic moment (μB per formula unit): 7.002

---

Entry 12:
# LiZn2Sn2Pd5

LiZn2Sn2Pd5 after structural relaxation (GGA-PBE, Alexandria).

Unit cell a=9.8637 b=9.8637 c=3.4635 alpha=90.00 beta=90.00 gamma=90.00
Closest atoms and distances in Å follow each position.
Fractional coordinates of all 20 atoms:
Li: 0.0000 0.0000 0.0000  8 Pd 2.67
Li: 0.5000 0.5000 0.0000  8 Pd 2.67
Zn: 0.1348 0.3652 0.0000  6 Pd 2.56-2.59, 1 Sn 2.83
Zn: 0.3652 0.8652 0.0000  6 Pd 2.56-2.59, 1 Sn 2.83
Zn: 0.6348 0.1348 0.0000  6 Pd 2.56-2.59, 1 Sn 2.83
Zn: 0.8652 0.6348 0.0000  6 Pd 2.56-2.59, 1 Sn 2.83
Sn: 0.1626 0.6626 0.0000  6 Pd 2.80-2.85, 3 Zn 2.83-2.95
Sn: 0.3374 0.1626 0.0000  6 Pd 2.80-2.85, 3 Zn 2.83-2.95
Sn: 0.6626 0.8374 0.0000  6 Pd 2.80-2.85, 3 Zn 2.83-2.95
Sn: 0.8374 0.3374 0.0000  6 Pd 2.80-2.85, 3 Zn 2.83-2.95
Pd: 0.0000 0.5000 0.5000  4 Zn 2.56, 4 Sn 2.85
Pd: 0.1142 0.1709 0.5000  2 Zn 2.59, 2 Li 2.67, 2 Sn 2.80, 2 Pd 2.87
Pd: 0.1709 0.8858 0.5000  2 Zn 2.59, 2 Li 2.67, 2 Sn 2.80, 2 Pd 2.87
Pd: 0.3291 0.3858 0.5000  2 Zn 2.59, 2 Li 2.67, 2 Sn 2.80, 2 Pd 2.87
Pd: 0.3858 0.6709 0.5000  2 Zn 2.59, 2 Li 2.67, 2 Sn 2.80, 2 Pd 2.87
Pd: 0.5000 0.0000 0.5000  4 Zn 2.56, 4 Sn 2.85
Pd: 0.6142 0.3291 0.5000  2 Zn 2.59, 2 Li 2.67, 2 Sn 2.80, 2 Pd 2.87
Pd: 0.6709 0.6142 0.5000  2 Zn 2.59, 2 Li 2.67, 2 Sn 2.80, 2 Pd 2.87
Pd: 0.8291 0.1142 0.5000  2 Zn 2.59, 2 Li 2.67, 2 Sn 2.80, 2 Pd 2.87
Pd: 0.8858 0.8291 0.5000  2 Zn 2.59, 2 Li 2.67, 2 Sn 2.80, 2 Pd 2.87

DOS(E_F) (states/eV per atom): 0.30
Energy (eV per atom): -4.19
Energy of formation (eV per atom): -0.34
Magnetic moment (μB per formula unit): 0.000